Entry 1:
Material: BaLaCuSe2S
Method: DFT, PBE
State: optimized geometry

Cell lengths 7.3475, 7.3475, 10.8314 Å; angles 90.00, 90.00, 146.62 degrees
Last column: nearest neighbours and their distance in Å.
Sites, in units of the cell vectors:
Ba  0.2358  0.7642  0.7500  2 S 3.21, 4 Se 3.35
Ba  0.7642  0.2358  0.2500  2 S 3.21, 4 Se 3.35
La  0.5000  0.5000  0.0000  2 S 2.85, 4 Se 2.99
La  0.5000  0.5000  0.5000  2 S 2.85, 4 Se 2.99
Cu  0.0299  0.9701  0.2500  2 S 2.49, 2 Se 2.49
Cu  0.9701  0.0299  0.7500  2 S 2.49, 2 Se 2.49
Se  0.1406  0.8594  0.0708  1 Cu 2.49
Se  0.1406  0.8594  0.4292  1 Cu 2.49
Se  0.8594  0.1406  0.5708  1 Cu 2.49
Se  0.8594  0.1406  0.9292  1 Cu 2.49
S  0.4365  0.5635  0.2500  2 Cu 2.49
S  0.5635  0.4365  0.7500  2 Cu 2.49

As for the space-group type: Cmcm. The electronic total energy comes out at -5.27 eV/atom.



Entry 2:
Material: BaLaCuTeS2
Method: DFT, PBE
State: optimized geometry

Cell lengths 11.7542, 4.4359, 12.1978 Å; angles 90.00, 90.00, 90.00 degrees
Last column: nearest neighbours and their distance in Å.
Sites, in units of the cell vectors:
Ba  0.2073  0.2500  0.0135  4 S 3.27-3.28, 3 Te 3.40-3.43, 3 Cu 3.43-3.54
Ba  0.2927  0.7500  0.5135  4 S 3.27-3.28, 3 Te 3.40-3.43, 3 Cu 3.43-3.54
Ba  0.7073  0.2500  0.4865  4 S 3.27-3.28, 3 Te 3.40-3.43, 3 Cu 3.43-3.54
Ba  0.7927  0.7500  0.9865  4 S 3.27-3.28, 3 Te 3.40-3.43, 3 Cu 3.43-3.54
La  0.0080  0.2500  0.6759  5 S 2.94-3.16, 2 Te 3.20
La  0.4920  0.7500  0.1759  5 S 2.94-3.16, 2 Te 3.20
La  0.5080  0.2500  0.8241  5 S 2.94-3.16, 2 Te 3.20
La  0.9920  0.7500  0.3241  5 S 2.94-3.16, 2 Te 3.20
Cu  0.2347  0.2500  0.2938  3 S 2.37-2.45, 1 Te 2.65
Cu  0.2653  0.7500  0.7938  3 S 2.37-2.45, 1 Te 2.65
Cu  0.7347  0.2500  0.2062  3 S 2.37-2.45, 1 Te 2.65
Cu  0.7653  0.7500  0.7062  3 S 2.37-2.45, 1 Te 2.65
Te  0.0505  0.7500  0.8606  1 Cu 2.65
Te  0.4495  0.2500  0.3606  1 Cu 2.65
Te  0.5505  0.7500  0.6394  1 Cu 2.65
Te  0.9495  0.2500  0.1394  1 Cu 2.65
S  0.1022  0.2500  0.4406  1 Cu 2.37
S  0.2254  0.7500  0.2093  2 Cu 2.45
S  0.2746  0.2500  0.7093  2 Cu 2.45
S  0.3978  0.7500  0.9406  1 Cu 2.37
S  0.6022  0.2500  0.0594  1 Cu 2.37
S  0.7254  0.7500  0.2907  2 Cu 2.45
S  0.7746  0.2500  0.7907  2 Cu 2.45
S  0.8978  0.7500  0.5594  1 Cu 2.37

As for the space-group type: Pnma. The electronic total energy comes out at -5.19 eV/atom. Its energy above the lowest structure with this stoichiometry is 0.037 eV per atom.



Entry 3:
Material: BaLaCuTeS2
Method: DFT, PBE
State: optimized geometry

Cell lengths 7.6474, 7.6474, 11.4506 Å; angles 90.00, 90.00, 148.03 degrees
Last column: nearest neighbours and their distance in Å.
Sites, in units of the cell vectors:
Ba  0.2199  0.7801  0.7500  4 S 3.20, 2 Te 3.48
Ba  0.7801  0.2199  0.2500  4 S 3.20, 2 Te 3.48
La  0.0000  0.0000  0.0000  4 S 2.90, 2 Te 3.17
La  0.0000  0.0000  0.5000  4 S 2.90, 2 Te 3.17
Cu  0.4781  0.5219  0.2500  2 S 2.35
Cu  0.5219  0.4781  0.7500  2 S 2.35
Te  0.0920  0.9080  0.2500  2 Cu 2.69
Te  0.9080  0.0920  0.7500  2 Cu 2.69
S  0.3825  0.6175  0.0859  1 Cu 2.35
S  0.3825  0.6175  0.4141  1 Cu 2.35
S  0.6175  0.3825  0.5859  1 Cu 2.35
S  0.6175  0.3825  0.9141  1 Cu 2.35

As for the space-group type: Cmcm. The electronic total energy comes out at -5.22 eV/atom. Its energy above the lowest structure with this stoichiometry is 0.000 eV per atom.



Entry 4:
Material: BaLaCuSe3
Method: DFT, PBE
State: optimized geometry

Cell lengths 11.8390, 4.4279, 12.3162 Å; angles 90.00, 90.00, 90.00 degrees
Last column: nearest neighbours and their distance in Å.
Sites, in units of the cell vectors:
Ba  0.1861  0.2500  0.0034  7 Se 3.29-3.37, 3 Cu 3.49-3.64
Ba  0.3139  0.7500  0.5034  7 Se 3.29-3.37, 3 Cu 3.49-3.64
Ba  0.6861  0.2500  0.4966  7 Se 3.29-3.37, 3 Cu 3.49-3.64
Ba  0.8139  0.7500  0.9966  7 Se 3.29-3.37, 3 Cu 3.49-3.64
La  0.0122  0.2500  0.6831  7 Se 3.05-3.20
La  0.4878  0.7500  0.1831  7 Se 3.05-3.20
La  0.5122  0.2500  0.8169  7 Se 3.05-3.20
La  0.9878  0.7500  0.3169  7 Se 3.05-3.20
Cu  0.2457  0.7500  0.7916  4 Se 2.46-2.51
Cu  0.2543  0.2500  0.2916  4 Se 2.46-2.51
Cu  0.7457  0.7500  0.7084  4 Se 2.46-2.51
Cu  0.7543  0.2500  0.2084  4 Se 2.46-2.51
Se  0.0476  0.7500  0.8514  1 Cu 2.46
Se  0.1092  0.2500  0.4405  1 Cu 2.51
Se  0.2245  0.7500  0.2016  2 Cu 2.50
Se  0.2755  0.2500  0.7016  2 Cu 2.50
Se  0.3908  0.7500  0.9405  1 Cu 2.51
Se  0.4524  0.2500  0.3514  1 Cu 2.46
Se  0.5476  0.7500  0.6486  1 Cu 2.46
Se  0.6092  0.2500  0.0595  1 Cu 2.51
Se  0.7245  0.7500  0.2984  2 Cu 2.50
Se  0.7755  0.2500  0.7984  2 Cu 2.50
Se  0.8908  0.7500  0.5595  1 Cu 2.51
Se  0.9524  0.2500  0.1486  1 Cu 2.46

As for the space-group type: Pnma. The electronic total energy comes out at -5.12 eV/atom.



Entry 5:
Material: BaLaCuSe3
Method: DFT, PBE
State: optimized geometry

Cell lengths 11.2246, 4.3059, 14.0055 Å; angles 90.00, 90.00, 90.00 degrees
Last column: nearest neighbours and their distance in Å.
Sites, in units of the cell vectors:
Ba  0.2283  0.2500  0.0041  7 Se 3.30-3.58
Ba  0.2717  0.7500  0.5041  7 Se 3.30-3.58
Ba  0.7283  0.2500  0.4959  7 Se 3.30-3.58
Ba  0.7717  0.7500  0.9959  7 Se 3.30-3.58
La  0.0097  0.7500  0.2597  6 Se 2.97-3.03
La  0.4903  0.2500  0.7597  6 Se 2.97-3.03
La  0.5097  0.7500  0.2403  6 Se 2.97-3.03
La  0.9903  0.2500  0.7403  6 Se 2.97-3.03
Cu  0.2415  0.7500  0.7833  4 Se 2.47-2.58
Cu  0.2585  0.2500  0.2833  4 Se 2.47-2.58
Cu  0.7415  0.7500  0.7167  4 Se 2.47-2.58
Cu  0.7585  0.2500  0.2167  4 Se 2.47-2.58
Se  0.0578  0.7500  0.8822  1 Cu 2.48
Se  0.0880  0.2500  0.3947  1 Cu 2.47
Se  0.2444  0.2500  0.6816  2 Cu 2.58
Se  0.2556  0.7500  0.1816  2 Cu 2.58
Se  0.4120  0.7500  0.8947  1 Cu 2.47
Se  0.4422  0.2500  0.3822  1 Cu 2.48
Se  0.5578  0.7500  0.6178  1 Cu 2.48
Se  0.5880  0.2500  0.1053  1 Cu 2.47
Se  0.7444  0.2500  0.8184  2 Cu 2.58
Se  0.7556  0.7500  0.3184  2 Cu 2.58
Se  0.9120  0.7500  0.6053  1 Cu 2.47
Se  0.9422  0.2500  0.1178  1 Cu 2.48

As for the space-group type: Pnma. The electronic total energy comes out at -5.13 eV/atom.



Entry 6:
Material: BaLaCuTeSe2
Method: DFT, PBE
State: optimized geometry

Cell lengths 7.6348, 7.6348, 11.7425 Å; angles 90.00, 90.00, 146.86 degrees
Last column: nearest neighbours and their distance in Å.
Sites, in units of the cell vectors:
Ba  0.2306  0.7694  0.7500  4 Se 3.32, 2 Te 3.49, 2 Cu 3.70
Ba  0.7694  0.2306  0.2500  4 Se 3.32, 2 Te 3.49, 2 Cu 3.70
La  0.0000  0.0000  0.0000  4 Se 3.02, 2 Te 3.18
La  0.0000  0.0000  0.5000  4 Se 3.02, 2 Te 3.18
Cu  0.4739  0.5261  0.2500  2 Se 2.49, 2 Te 2.70
Cu  0.5261  0.4739  0.7500  2 Se 2.49, 2 Te 2.70
Te  0.0828  0.9172  0.2500  2 Cu 2.70
Te  0.9172  0.0828  0.7500  2 Cu 2.70
Se  0.3724  0.6276  0.0795  1 Cu 2.49
Se  0.3724  0.6276  0.4205  1 Cu 2.49
Se  0.6276  0.3724  0.5795  1 Cu 2.49
Se  0.6276  0.3724  0.9205  1 Cu 2.49

As for the space-group type: Cmcm. The electronic total energy comes out at -4.96 eV/atom. Its energy above the lowest structure with this stoichiometry is 0.000 eV per atom.



Entry 7:
Material: BaLaCuTeSe2
Method: DFT, PBE
State: optimized geometry

Cell lengths 12.0757, 4.5375, 12.5198 Å; angles 90.00, 90.00, 90.00 degrees
Last column: nearest neighbours and their distance in Å.
Sites, in units of the cell vectors:
Ba  0.2011  0.2500  0.0062  4 Se 3.37, 3 Te 3.45-3.47, 3 Cu 3.58-3.61
Ba  0.2989  0.7500  0.5062  4 Se 3.37, 3 Te 3.45-3.47, 3 Cu 3.58-3.61
Ba  0.7011  0.2500  0.4938  4 Se 3.37, 3 Te 3.45-3.47, 3 Cu 3.58-3.61
Ba  0.7989  0.7500  0.9938  4 Se 3.37, 3 Te 3.45-3.47, 3 Cu 3.58-3.61
La  0.0124  0.2500  0.6786  5 Se 3.05-3.22, 2 Te 3.22
La  0.4876  0.7500  0.1786  5 Se 3.05-3.22, 2 Te 3.22
La  0.5124  0.2500  0.8214  5 Se 3.05-3.22, 2 Te 3.22
La  0.9876  0.7500  0.3214  5 Se 3.05-3.22, 2 Te 3.22
Cu  0.2471  0.2500  0.2912  3 Se 2.53, 1 Te 2.62
Cu  0.2529  0.7500  0.7912  3 Se 2.53, 1 Te 2.62
Cu  0.7471  0.2500  0.2088  3 Se 2.53, 1 Te 2.62
Cu  0.7529  0.7500  0.7088  3 Se 2.53, 1 Te 2.62
Te  0.0472  0.7500  0.8578  1 Cu 2.62
Te  0.4528  0.2500  0.3578  1 Cu 2.62
Te  0.5472  0.7500  0.6422  1 Cu 2.62
Te  0.9528  0.2500  0.1422  1 Cu 2.62
Se  0.1046  0.2500  0.4393  1 Cu 2.53
Se  0.2250  0.7500  0.2040  2 Cu 2.53
Se  0.2750  0.2500  0.7040  2 Cu 2.53
Se  0.3954  0.7500  0.9393  1 Cu 2.53
Se  0.6046  0.2500  0.0607  1 Cu 2.53
Se  0.7250  0.7500  0.2960  2 Cu 2.53
Se  0.7750  0.2500  0.7960  2 Cu 2.53
Se  0.8954  0.7500  0.5607  1 Cu 2.53

As for the space-group type: Pnma. The electronic total energy comes out at -4.93 eV/atom. Its energy above the lowest structure with this stoichiometry is 0.026 eV per atom.



Entry 8:
Material: BaLaCuTe3
Method: DFT, PBE
State: optimized geometry

Cell lengths 11.9414, 4.5444, 14.8990 Å; angles 90.00, 90.00, 90.00 degrees
Last column: nearest neighbours and their distance in Å.
Sites, in units of the cell vectors:
Ba  0.2308  0.2500  0.0014  7 Te 3.51-3.83
Ba  0.2692  0.7500  0.5014  7 Te 3.51-3.83
Ba  0.7308  0.2500  0.4986  7 Te 3.51-3.83
Ba  0.7692  0.7500  0.9986  7 Te 3.51-3.83
La  0.0122  0.7500  0.2569  6 Te 3.16-3.22
La  0.4878  0.2500  0.7569  6 Te 3.16-3.22
La  0.5122  0.7500  0.2431  6 Te 3.16-3.22
La  0.9878  0.2500  0.7431  6 Te 3.16-3.22
Cu  0.2420  0.7500  0.7829  4 Te 2.66-2.74
Cu  0.2580  0.2500  0.2829  4 Te 2.66-2.74
Cu  0.7420  0.7500  0.7171  4 Te 2.66-2.74
Cu  0.7580  0.2500  0.2171  4 Te 2.66-2.74
Te  0.0577  0.7500  0.8857  1 Cu 2.68
Te  0.0856  0.2500  0.3958  1 Cu 2.66
Te  0.2414  0.2500  0.6799  2 Cu 2.74
Te  0.2586  0.7500  0.1799  2 Cu 2.74
Te  0.4144  0.7500  0.8958  1 Cu 2.66
Te  0.4423  0.2500  0.3857  1 Cu 2.68
Te  0.5577  0.7500  0.6143  1 Cu 2.68
Te  0.5856  0.2500  0.1042  1 Cu 2.66
Te  0.7414  0.2500  0.8201  2 Cu 2.74
Te  0.7586  0.7500  0.3201  2 Cu 2.74
Te  0.9144  0.7500  0.6042  1 Cu 2.66
Te  0.9423  0.2500  0.1143  1 Cu 2.68

As for the space-group type: Pnma. The electronic total energy comes out at -4.64 eV/atom.



Entry 9:
Material: BaLi2Cu
Method: DFT, PBE
State: optimized geometry

Cell lengths 5.2357, 5.2357, 5.2357 Å; angles 60.00, 60.00, 60.00 degrees
Last column: nearest neighbours and their distance in Å.
Sites, in units of the cell vectors:
Ba  0.0000  0.0000  0.0000  4 Li 3.21, 4 Cu 3.21
Li  0.5000  0.5000  0.5000  4 Li 3.21, 4 Cu 3.21
Li  0.7500  0.7500  0.7500  4 Li 3.21, 4 Ba 3.21
Cu  0.2500  0.2500  0.2500  4 Ba 3.21, 4 Li 3.21

As for the space-group type: F-43m. The electronic total energy comes out at -2.18 eV/atom.



Entry 10:
Material: Ba2LiCuSb2
Method: DFT, PBE
State: optimized geometry

Cell lengths 4.7382, 4.7382, 9.4119 Å; angles 90.00, 90.00, 120.00 degrees
Last column: nearest neighbours and their distance in Å.
Sites, in units of the cell vectors:
Ba  0.0000  0.0000  0.2487  6 Sb 3.60-3.62, 3 Cu 3.60, 3 Li 3.62
Ba  0.0000  0.0000  0.7513  6 Sb 3.60-3.62, 3 Cu 3.60, 3 Li 3.62
Li  0.3333  0.6667  0.5000  3 Sb 2.74
Cu  0.6667  0.3333  0.0000  3 Sb 2.74
Sb  0.3333  0.6667  0.0000  3 Cu 2.74
Sb  0.6667  0.3333  0.5000  3 Li 2.74

As for the space-group type: P-6m2. The electronic total energy comes out at -3.76 eV/atom.



Entry 11:
Material: Ba2LuCu
Method: DFT, PBE
State: optimized geometry

Cell lengths 5.6667, 5.6667, 5.6667 Å; angles 60.00, 60.00, 60.00 degrees
Last column: nearest neighbours and their distance in Å.
Sites, in units of the cell vectors:
Ba  0.0000  0.0000  0.0000  4 Ba 3.47, 4 Cu 3.47
Ba  0.2500  0.2500  0.2500  4 Lu 3.47, 4 Ba 3.47
Lu  0.5000  0.5000  0.5000  4 Cu 3.47, 4 Ba 3.47
Cu  0.7500  0.7500  0.7500  4 Ba 3.47, 4 Lu 3.47

As for the space-group type: F-43m. The electronic total energy comes out at -2.57 eV/atom.



Entry 12:
Material: BaLu2Cu
Method: DFT, PBE
State: optimized geometry

Cell lengths 5.4904, 5.4904, 5.4904 Å; angles 60.00, 60.00, 60.00 degrees
Last column: nearest neighbours and their distance in Å.
Sites, in units of the cell vectors:
Ba  0.0000  0.0000  0.0000  4 Lu 3.36, 4 Cu 3.36
Lu  0.5000  0.5000  0.5000  4 Cu 3.36, 4 Lu 3.36
Lu  0.7500  0.7500  0.7500  4 Ba 3.36, 4 Lu 3.36
Cu  0.2500  0.2500  0.2500  4 Ba 3.36, 4 Lu 3.36

As for the space-group type: F-43m. The electronic total energy comes out at -3.24 eV/atom.



Question: Which of these has the lowest electronic total energy?
Answer: BaLaCuSe2S



Question: Look up the electronic total energy of the eleventh one.
Answer: -2.57 eV/atom